# LiFeAgF6

A relaxed structure of LiFeAgF6 (PBE with a Hubbard U, the Alexandria database).

## Properties
- total magnetization (Bohr magnetons per cell) = 4.03
- SG = P-31c (163)
- final energy (eV per atom) = -4.279

Cell lengths 5.170, 5.170, 9.493 Å; angles 90.00, 90.00, 120.00 degrees
Element x y z (fractional)
Li 0.333 0.667 0.250
Li 0.667 0.333 0.750
Fe 0.333 0.667 0.750
Fe 0.667 0.333 0.250
Ag 0.000 0.000 0.000
Ag 0.000 0.000 0.500
F 0.022 0.372 0.639
F 0.022 0.649 0.861
F 0.351 0.372 0.861
F 0.351 0.978 0.639
F 0.372 0.022 0.139
F 0.372 0.351 0.361
F 0.628 0.649 0.639
F 0.628 0.978 0.861
F 0.649 0.022 0.361
F 0.649 0.628 0.139
F 0.978 0.351 0.139
F 0.978 0.628 0.361